Record 1
Compound: PuBeCdO6
Source: Alexandria via LeMat-Bulk
Functional: PBE
Structure: relaxed

Geometry as POSCAR:
```
PuBeCdO6
1.0
5.057 0.000 0.000
-2.529 4.380 0.000
0.000 0.000 9.869
Pu Be Cd O
2 2 2 12
direct
0.333 0.667 0.250
0.667 0.333 0.750
0.333 0.667 0.750
0.667 0.333 0.250
0.000 0.000 0.000
0.000 0.000 0.500
0.017 0.373 0.644
0.017 0.644 0.856
0.356 0.373 0.856
0.356 0.983 0.644
0.373 0.017 0.144
0.373 0.356 0.356
0.627 0.644 0.644
0.627 0.983 0.856
0.644 0.017 0.356
0.644 0.627 0.144
0.983 0.356 0.144
0.983 0.627 0.356
```

Values from the calculation:
Crystal system: trigonal
Formation energy (no corrections), meV per atom: -1746
N(E_F), states/eV/cell: 1.18
Electronic total energy, eV per atom: -7.1600
Space-group type: No. 163


Record 2
Compound: RbBeCdO2
Source: Alexandria via LeMat-Bulk
Functional: PBE
Structure: relaxed

Geometry as POSCAR:
```
RbBeCdO2
1.0
6.377 0.000 0.000
0.000 4.803 0.000
-0.953 0.000 6.780
Rb Be Cd O
2 2 2 4
direct
0.000 0.142 0.250
0.000 0.858 0.750
0.500 0.000 0.000
0.500 0.000 0.500
0.500 0.481 0.750
0.500 0.519 0.250
0.329 0.205 0.995
0.329 0.795 0.495
0.671 0.205 0.505
0.671 0.795 0.005
```

Values from the calculation:
Crystal system: monoclinic
Formation energy (no corrections), meV per atom: -1292
N(E_F), states/eV/cell: 1.69
Electronic total energy, eV per atom: -4.3975
Space-group type: No. 13


Record 3
Compound: BeCdReO2
Source: Alexandria via LeMat-Bulk
Functional: PBE
Structure: relaxed

Geometry as POSCAR:
```
BeCdReO2
1.0
4.024 0.000 0.000
0.000 4.024 0.000
0.000 0.000 4.776
Be Cd Re O
1 1 1 2
direct
0.000 0.000 0.000
0.000 0.000 0.500
0.500 0.500 0.000
0.000 0.500 0.500
0.500 0.000 0.500
```

Values from the calculation:
Crystal system: tetragonal
Formation energy (no corrections), meV per atom: 1371
N(E_F), states/eV/cell: 3.57
Electronic total energy, eV per atom: -4.0297
Space-group type: No. 123


Record 4
Compound: BeCdRuO5
Source: Alexandria via LeMat-Bulk
Functional: PBE
Structure: relaxed

Geometry as POSCAR:
```
BeCdRuO5
1.0
3.214 -4.348 0.000
3.214 4.348 0.000
-3.047 0.000 6.473
Be Cd Ru O
2 2 2 10
direct
0.191 0.809 0.750
0.809 0.191 0.250
0.161 0.839 0.250
0.839 0.161 0.750
0.500 0.500 0.000
0.500 0.500 0.500
0.122 0.257 0.411
0.190 0.595 0.876
0.257 0.122 0.911
0.405 0.810 0.624
0.422 0.578 0.250
0.578 0.422 0.750
0.595 0.190 0.376
0.743 0.878 0.089
0.810 0.405 0.124
0.878 0.743 0.589
```

Values from the calculation:
Crystal system: monoclinic
Formation energy (no corrections), meV per atom: -1236
N(E_F), states/eV/cell: 7.58
Electronic total energy, eV per atom: -6.0741
Space-group type: No. 15


Record 5
Compound: Be4CdSb3O12
Source: Alexandria via LeMat-Bulk
Functional: PBE
Structure: relaxed

Geometry as POSCAR:
```
Be4CdSb3O12
1.0
5.096 2.942 2.561
-5.096 2.942 2.561
0.000 -5.885 2.561
Be Cd Sb O
4 1 3 12
direct
0.000 0.000 0.000
0.000 0.444 0.556
0.444 0.556 0.000
0.556 0.000 0.444
0.500 0.500 0.500
0.049 0.951 0.500
0.500 0.049 0.951
0.951 0.500 0.049
0.000 0.599 0.401
0.000 0.848 0.152
0.137 0.280 0.526
0.152 0.000 0.848
0.280 0.526 0.137
0.401 0.000 0.599
0.474 0.720 0.863
0.526 0.137 0.280
0.599 0.401 0.000
0.720 0.863 0.474
0.848 0.152 0.000
0.863 0.474 0.720
```

Values from the calculation:
Crystal system: trigonal
Formation energy (no corrections), meV per atom: -1787
N(E_F), states/eV/cell: 3.25
Electronic total energy, eV per atom: -6.1708
Space-group type: No. 155


Record 6
Compound: Be3Cd4Si3TeO12
Source: Alexandria via LeMat-Bulk
Functional: PBE
Structure: relaxed

Geometry as POSCAR:
```
Be3Cd4Si3TeO12
1.0
8.682 0.000 0.000
0.000 8.682 0.000
0.000 0.000 8.682
Be Cd Si Te O
6 8 6 2 24
direct
0.000 0.250 0.500
0.000 0.750 0.500
0.250 0.500 0.000
0.500 0.000 0.250
0.500 0.000 0.750
0.750 0.500 0.000
0.185 0.185 0.185
0.185 0.815 0.815
0.315 0.315 0.685
0.315 0.685 0.315
0.685 0.315 0.315
0.685 0.685 0.685
0.815 0.185 0.815
0.815 0.815 0.185
0.000 0.500 0.250
0.000 0.500 0.750
0.250 0.000 0.500
0.500 0.250 0.000
0.500 0.750 0.000
0.750 0.000 0.500
0.000 0.000 0.000
0.500 0.500 0.500
0.062 0.354 0.646
0.062 0.646 0.354
0.146 0.146 0.438
0.146 0.438 0.146
0.146 0.562 0.854
0.146 0.854 0.562
0.354 0.062 0.646
0.354 0.354 0.938
0.354 0.646 0.062
0.354 0.938 0.354
0.438 0.146 0.146
0.438 0.854 0.854
0.562 0.146 0.854
0.562 0.854 0.146
0.646 0.062 0.354
0.646 0.354 0.062
0.646 0.646 0.938
0.646 0.938 0.646
0.854 0.146 0.562
0.854 0.438 0.854
0.854 0.562 0.146
0.854 0.854 0.438
0.938 0.354 0.354
0.938 0.646 0.646
```

Values from the calculation:
Crystal system: cubic
Formation energy (no corrections), meV per atom: -2185
N(E_F), states/eV/cell: 0.00
Electronic total energy, eV per atom: -6.2611
Space-group type: No. 218


Record 7
Compound: SrBeCd2O4
Source: Alexandria via LeMat-Bulk
Functional: PBE
Structure: relaxed

Geometry as POSCAR:
```
SrBeCd2O4
1.0
7.118 0.000 0.000
0.000 5.946 0.000
0.000 0.000 5.501
Sr Be Cd O
2 2 4 8
direct
0.000 0.126 0.000
0.500 0.874 0.500
0.000 0.809 0.518
0.500 0.191 0.018
0.240 0.345 0.508
0.260 0.655 0.008
0.740 0.655 0.008
0.760 0.345 0.508
0.000 0.101 0.461
0.000 0.762 0.816
0.197 0.701 0.404
0.303 0.299 0.904
0.500 0.238 0.316
0.500 0.899 0.961
0.697 0.299 0.904
0.803 0.701 0.404
```

Values from the calculation:
Crystal system: orthorhombic
Formation energy (no corrections), meV per atom: -1815
Electronic total energy, eV per atom: -5.1989
Space-group type: No. 31


Record 8
Compound: BeCd2TeO6
Source: Alexandria via LeMat-Bulk
Functional: PBE
Structure: relaxed

Geometry as POSCAR:
```
BeCd2TeO6
1.0
2.668 1.540 5.205
-2.668 1.540 5.205
0.000 -3.081 5.205
Be Cd Te O
1 2 1 6
direct
0.000 0.000 0.000
0.211 0.211 0.211
0.712 0.712 0.712
0.419 0.419 0.419
0.080 0.664 0.255
0.157 0.524 0.761
0.255 0.080 0.664
0.524 0.761 0.157
0.664 0.255 0.080
0.761 0.157 0.524
```

Values from the calculation:
Crystal system: trigonal
Formation energy (no corrections), meV per atom: -1291
Electronic total energy, eV per atom: -5.1360
Space-group type: No. 146


Record 9
Compound: BeCdTeO5
Source: Alexandria via LeMat-Bulk
Functional: PBE
Structure: relaxed

Geometry as POSCAR:
```
BeCdTeO5
1.0
3.306 -4.321 0.000
3.306 4.321 0.000
-3.208 0.000 6.544
Be Cd Te O
2 2 2 10
direct
0.192 0.808 0.750
0.808 0.192 0.250
0.155 0.845 0.250
0.845 0.155 0.750
0.500 0.500 0.000
0.500 0.500 0.500
0.127 0.255 0.409
0.194 0.598 0.878
0.255 0.127 0.909
0.402 0.806 0.622
0.413 0.587 0.250
0.587 0.413 0.750
0.598 0.194 0.378
0.745 0.873 0.091
0.806 0.402 0.122
0.873 0.745 0.591
```

Values from the calculation:
Crystal system: monoclinic
Formation energy (no corrections), meV per atom: -1447
N(E_F), states/eV/cell: 0.00
Electronic total energy, eV per atom: -5.5192
Space-group type: No. 15


Record 10
Compound: Be4CdTe3O12
Source: Alexandria via LeMat-Bulk
Functional: PBE
Structure: relaxed

Geometry as POSCAR:
```
Be4CdTe3O12
1.0
5.152 2.975 2.647
-5.152 2.975 2.647
0.000 -5.949 2.647
Be Cd Te O
4 1 3 12
direct
0.000 0.000 0.000
0.000 0.451 0.549
0.451 0.549 0.000
0.549 0.000 0.451
0.500 0.500 0.500
0.043 0.957 0.500
0.500 0.043 0.957
0.957 0.500 0.043
0.000 0.603 0.397
0.000 0.850 0.150
0.138 0.290 0.523
0.150 0.000 0.850
0.290 0.523 0.138
0.397 0.000 0.603
0.477 0.710 0.862
0.523 0.138 0.290
0.603 0.397 0.000
0.710 0.862 0.477
0.850 0.150 0.000
0.862 0.477 0.710
```

Values from the calculation:
Crystal system: trigonal
Formation energy (no corrections), meV per atom: -1502
N(E_F), states/eV/cell: 3.69
Electronic total energy, eV per atom: -5.7387
Space-group type: No. 155


Record 11
Compound: BeCdTe2O8
Source: Alexandria via LeMat-Bulk
Functional: PBE
Structure: relaxed

Geometry as POSCAR:
```
BeCdTe2O8
1.0
3.135 -3.747 0.000
3.135 3.747 0.000
0.000 0.000 6.184
Be Cd Te O
1 1 2 8
direct
0.000 0.000 0.000
0.000 0.000 0.500
0.500 0.500 0.239
0.500 0.500 0.761
0.196 0.196 0.214
0.196 0.196 0.786
0.319 0.681 0.000
0.333 0.667 0.500
0.667 0.333 0.500
0.681 0.319 0.000
0.804 0.804 0.214
0.804 0.804 0.786
```

Values from the calculation:
Crystal system: orthorhombic
Formation energy (no corrections), meV per atom: -1071
N(E_F), states/eV/cell: 2.14
Electronic total energy, eV per atom: -5.2871
Space-group type: No. 65


Record 12
Compound: TiBe2Cd2O6
Source: Alexandria via LeMat-Bulk
Functional: PBE
Structure: relaxed

Geometry as POSCAR:
```
TiBe2Cd2O6
1.0
5.187 0.000 0.000
-2.593 4.492 0.000
0.000 0.000 5.564
Ti Be Cd O
1 2 2 6
direct
0.000 0.000 0.000
0.333 0.667 0.815
0.667 0.333 0.185
0.333 0.667 0.332
0.667 0.333 0.668
0.073 0.729 0.792
0.271 0.344 0.792
0.344 0.073 0.208
0.656 0.927 0.792
0.729 0.656 0.208
0.927 0.271 0.208
```

Values from the calculation:
Crystal system: trigonal
Formation energy (no corrections), meV per atom: -1983
N(E_F), states/eV/cell: 0.00
Electronic total energy, eV per atom: -6.2493
Space-group type: No. 147